1.
DyCoP2O8 PBE with a Hubbard U optimized geometry; space group = No. 164; final energy = -7.2517 eV/atom
1.0
5.129 0.000 0.000
-2.564 4.442 0.000
0.000 0.000 6.436
Dy Co P O
1 1 2 8
direct
0.000 0.000 0.000
0.000 0.000 0.500
0.333 0.667 0.222
0.667 0.333 0.778
0.167 0.335 0.296
0.167 0.833 0.296
0.333 0.667 0.984
0.335 0.167 0.704
0.665 0.833 0.296
0.667 0.333 0.016
0.833 0.167 0.704
0.833 0.665 0.704

---

2.
DyPaCoO6 PBE with a Hubbard U optimized geometry; space group = No. 149; final energy = -7.9380 eV/atom
1.0
5.273 0.000 0.000
-2.637 4.567 0.000
0.000 0.000 4.811
Dy Pa Co O
1 1 1 6
direct
0.000 0.000 0.000
0.667 0.333 0.500
0.333 0.667 0.000
0.025 0.379 0.233
0.025 0.646 0.767
0.354 0.379 0.767
0.354 0.975 0.233
0.621 0.646 0.233
0.621 0.975 0.767

---

3.
DyPaCo2O8 PBE with a Hubbard U optimized geometry; space group = No. 119; final energy = -7.4322 eV/atom
1.0
-3.562 3.562 3.215
3.562 -3.562 3.215
3.562 3.562 -3.215
Dy Pa Co O
1 1 2 8
direct
0.000 0.000 0.000
0.250 0.750 0.500
0.500 0.500 0.000
0.750 0.250 0.500
0.319 0.128 0.809
0.319 0.510 0.191
0.376 0.058 0.318
0.490 0.681 0.809
0.741 0.058 0.682
0.872 0.681 0.191
0.942 0.259 0.318
0.942 0.624 0.682

---

4.
Dy2PuCoO8 PBE with a Hubbard U optimized geometry; space group = No. 10; final energy = -8.1754 eV/atom
1.0
4.936 0.000 0.000
0.000 6.852 0.000
-0.314 0.000 4.927
Dy Pu Co O
2 1 1 8
direct
0.000 0.240 0.000
0.000 0.760 0.000
0.500 0.500 0.500
0.500 0.000 0.500
0.205 0.500 0.202
0.230 0.000 0.229
0.316 0.275 0.682
0.316 0.725 0.682
0.684 0.275 0.318
0.684 0.725 0.318
0.770 0.000 0.771
0.795 0.500 0.798

---

5.
DyPuCo2O8 PBE with a Hubbard U optimized geometry; space group = No. 119; final energy = -7.5512 eV/atom
1.0
-3.416 3.416 3.331
3.416 -3.416 3.331
3.416 3.416 -3.331
Dy Pu Co O
1 1 2 8
direct
0.000 0.000 0.000
0.250 0.750 0.500
0.500 0.500 0.000
0.750 0.250 0.500
0.298 0.094 0.796
0.298 0.502 0.204
0.389 0.063 0.325
0.498 0.702 0.796
0.738 0.063 0.675
0.906 0.702 0.204
0.937 0.262 0.325
0.937 0.611 0.675

---

6.
RbDyCoO3 PBE with a Hubbard U optimized geometry; space group = No. 11; final energy = -6.2712 eV/atom
1.0
7.615 0.000 0.000
0.000 3.605 0.000
-3.672 0.000 8.549
Rb Dy Co O
2 2 2 6
direct
0.207 0.250 0.186
0.793 0.750 0.814
0.323 0.750 0.863
0.677 0.250 0.137
0.032 0.250 0.624
0.968 0.750 0.376
0.075 0.750 0.604
0.123 0.250 0.850
0.475 0.750 0.121
0.525 0.250 0.879
0.877 0.750 0.150
0.925 0.250 0.396

---

7.
Rb2DyCoO4 PBE with a Hubbard U optimized geometry; space group = No. 70; final energy = -5.5669 eV/atom
1.0
0.000 6.361 11.337
2.837 0.000 11.337
2.837 6.361 0.000
Rb Dy Co O
4 2 2 8
direct
0.064 0.064 0.686
0.314 0.314 0.936
0.686 0.686 0.064
0.936 0.936 0.314
0.125 0.125 0.125
0.875 0.875 0.875
0.375 0.375 0.375
0.625 0.625 0.625
0.025 0.650 0.543
0.281 0.543 0.650
0.350 0.975 0.719
0.457 0.719 0.975
0.543 0.281 0.025
0.650 0.025 0.281
0.719 0.457 0.350
0.975 0.350 0.457

---

8.
Rb4Dy3CoO8 PBE with a Hubbard U optimized geometry; space group = No. 12; final energy = -6.1175 eV/atom
1.0
5.883 -3.486 0.000
5.883 3.486 0.000
-3.937 0.000 6.526
Rb Dy Co O
4 3 1 8
direct
0.000 0.000 0.000
0.000 0.500 0.000
0.500 0.000 0.000
0.500 0.500 0.000
0.000 0.000 0.500
0.000 0.500 0.500
0.500 0.000 0.500
0.500 0.500 0.500
0.222 0.731 0.682
0.228 0.228 0.676
0.269 0.778 0.318
0.304 0.304 0.344
0.696 0.696 0.656
0.731 0.222 0.682
0.772 0.772 0.324
0.778 0.269 0.318

---

9.
Dy2CoRhO6 PBE with a Hubbard U optimized geometry; space group = No. 14; final energy = -7.3664 eV/atom
1.0
5.292 0.000 0.000
0.000 5.758 0.000
-5.284 0.000 7.615
Dy Co Rh O
4 2 2 12
direct
0.224 0.079 0.250
0.224 0.421 0.750
0.776 0.579 0.250
0.776 0.921 0.750
0.000 0.000 0.500
0.000 0.500 0.000
0.500 0.000 0.000
0.500 0.500 0.500
0.124 0.189 0.941
0.124 0.311 0.441
0.258 0.697 0.938
0.258 0.803 0.438
0.374 0.046 0.750
0.374 0.454 0.250
0.626 0.546 0.750
0.626 0.954 0.250
0.742 0.197 0.562
0.742 0.303 0.062
0.876 0.689 0.559
0.876 0.811 0.059

---

10.
DyCo2RuO8 PBE with a Hubbard U optimized geometry; space group = No. 119; final energy = -6.4248 eV/atom
1.0
-3.372 3.372 3.158
3.372 -3.372 3.158
3.372 3.372 -3.158
Dy Co Ru O
1 2 1 8
direct
0.000 0.000 0.000
0.500 0.500 0.000
0.750 0.250 0.500
0.250 0.750 0.500
0.308 0.105 0.797
0.308 0.511 0.203
0.369 0.033 0.336
0.489 0.692 0.797
0.697 0.033 0.664
0.895 0.692 0.203
0.967 0.303 0.336
0.967 0.631 0.664

---

11.
Dy2CoSbO6 PBE with a Hubbard U optimized geometry; space group = No. 1; final energy = -7.1226 eV/atom
1.0
5.635 0.000 0.000
2.802 4.892 0.000
0.000 3.240 4.872
Dy Co Sb O
2 1 1 6
direct
0.000 0.000 0.000
0.499 0.000 0.503
0.282 0.432 0.855
0.783 0.433 0.354
0.078 0.261 0.155
0.158 0.264 0.651
0.413 0.510 0.153
0.580 0.508 0.653
0.661 0.924 0.154
0.911 0.931 0.650

---

12.
SrDyCoO4 PBE with a Hubbard U optimized geometry; space group = No. 63; final energy = -6.7903 eV/atom
1.0
2.657 -6.159 0.000
2.657 6.159 0.000
0.000 0.000 5.364
Sr Dy Co O
2 2 2 8
direct
0.103 0.897 0.750
0.897 0.103 0.250
0.386 0.614 0.750
0.614 0.386 0.250
0.250 0.750 0.250
0.750 0.250 0.750
0.000 0.500 0.000
0.000 0.500 0.500
0.089 0.911 0.250
0.433 0.567 0.250
0.500 0.000 0.000
0.500 0.000 0.500
0.567 0.433 0.750
0.911 0.089 0.750

---

Q: Which value of final energy does entry 12 give?
A: -6.7903 eV/atom